[1]
Entry from Alexandria: an optimized crystal structure of Ac5DyCd6 (PBE-GGA).

The calculation puts the formation energy from the elements at -281.7 meV per atom. The calculation puts the raw total energy at -2.835 eV per atom.

Lattice parameters (Å, degrees): 5.675 8.044 17.090 90.00 90.00 90.00
Space group Immm (No. 71)
Symmetry-distinct sites (fractional):
Ac 0.000 0.000 0.000 [2 per cell]
Ac 0.000 0.000 0.327 [4 per cell]
Ac 0.000 0.500 0.336 [4 per cell]
Dy 0.000 0.500 0.000 [2 per cell]
Cd 0.000 0.221 0.500 [4 per cell]
Cd 0.000 0.265 0.158 [8 per cell]

[2]
Entry from Alexandria: an optimized crystal structure of AcDy3Cd2 (PBE-GGA).

The calculation puts the formation energy from the elements at -188.9 meV per atom. Its relative energy among the computed polymorphs is 0.0 meV per atom. The calculation puts the raw total energy at -3.480 eV per atom.

Lattice parameters (Å, degrees): 3.756 3.756 12.780 90.00 90.00 90.00
Space group P4/mmm (No. 123)
Symmetry-distinct sites (fractional):
Ac 0.000 0.000 0.000 [1 per cell]
Dy 0.500 0.500 0.209 [2 per cell]
Dy 0.500 0.500 0.500 [1 per cell]
Cd 0.000 0.000 0.354 [2 per cell]

[3]
Entry from Alexandria: an optimized crystal structure of AcDyCd2 (PBE-GGA).

The calculation puts the formation energy from the elements at -257.6 meV per atom. Its relative energy among the computed polymorphs is 32.0 meV per atom. The calculation puts the raw total energy at -2.893 eV per atom.

Lattice parameters (Å, degrees): 7.852 7.852 7.852 90.00 90.00 90.00
Space group Fm-3m (No. 225)
Symmetry-distinct sites (fractional):
Ac 0.000 0.000 0.000 [4 per cell]
Dy 0.000 0.000 0.500 [4 per cell]
Cd 0.250 0.250 0.250 [8 per cell]

[4]
Entry from Alexandria: an optimized crystal structure of AcDy2Cd (PBE-GGA).

The calculation puts the formation energy from the elements at -12.4 meV per atom. Its relative energy among the computed polymorphs is 106.5 meV per atom. The calculation puts the raw total energy at -3.569 eV per atom.

Lattice parameters (Å, degrees): 3.7274 3.7274 33.0187 90.00 90.00 120.00
Space group R3m (No. 160, hexagonal axes)
Symmetry-distinct sites (fractional):
Ac 0.0000 0.0000 0.0000 [3 per cell]
Dy 0.0000 0.0000 0.5724 [3 per cell]
Dy 0.0000 0.0000 0.7606 [3 per cell]
Cd 0.0000 0.0000 0.1662 [3 per cell]

[5]
Entry from Alexandria: an optimized crystal structure of Ac2DyCd5 (PBE-GGA).

The calculation puts the formation energy from the elements at -257.7 meV per atom. The calculation puts the raw total energy at -2.432 eV per atom.

Lattice parameters (Å, degrees): 5.360 5.360 15.841 90.00 90.00 90.00
Space group I4/mmm (No. 139)
Symmetry-distinct sites (fractional):
Ac 0.000 0.000 0.238 [4 per cell]
Dy 0.000 0.000 0.500 [2 per cell]
Cd 0.000 0.000 0.000 [2 per cell]
Cd 0.000 0.500 0.106 [8 per cell]

[6]
Entry from Alexandria: an optimized crystal structure of AcDyCd4 (PBE-GGA).

The calculation puts the formation energy from the elements at -318.1 meV per atom. Its relative energy among the computed polymorphs is 0.0 meV per atom. The calculation puts the raw total energy at -2.380 eV per atom.

Lattice parameters (Å, degrees): 5.0277 5.0277 7.5423 90.00 90.00 120.00
Space group P6/mmm (No. 191)
Symmetry-distinct sites (fractional):
Ac 0.0000 0.0000 0.0000 [1 per cell]
Dy 0.0000 0.0000 0.5000 [1 per cell]
Cd 0.3333 0.6667 0.2837 [4 per cell]